# 1
Cd3AgCl | PBE-GGA | relaxed

```
Cd3AgCl
1.0
-0.0414 -0.6770 6.2737
5.7392 -2.3659 1.1328
3.1956 5.0910 1.9207
Ag Cd Cl
2 6 2
Direct
0.7500 0.7500 0.7500
0.2500 0.2500 0.2500
0.4100 0.7500 0.0900
0.2500 0.9100 0.5900
0.5900 0.2500 0.9100
0.9100 0.5900 0.2500
0.7500 0.0900 0.4100
0.0900 0.4100 0.7500
0.5000 0.5000 0.5000
0.0000 0.0000 0.0000
```

Output
As for the raw total energy: -1.4996 eV per atom. Its calculated volume is 236.2 Å³ per cell.

***

# 2
ReBMo | PBE-GGA | relaxed

```
ReBMo
1.0
-0.6154 2.5451 3.0472
-3.4011 2.1310 0.1818
-2.7540 -0.8471 2.7999
B Mo Re
1 1 1
Direct
0.2500 0.2500 0.2500
0.7500 0.7500 0.7500
0.0000 0.0000 0.0000
```

Output
The value obtained for the energy above the most stable polymorph in this dataset is 1.2044 eV/atom. As for the raw total energy: -9.0117 eV per atom. Its calculated volume is 45.9 Å³ per cell. As for the size of the total moment: 0.00 μB per cell.

***

What did the first record say?
Cd3AgCl | PBE-GGA | relaxed

```
Cd3AgCl
1.0
-0.0414 -0.6770 6.2737
5.7392 -2.3659 1.1328
3.1956 5.0910 1.9207
Ag Cd Cl
2 6 2
Direct
0.7500 0.7500 0.7500
0.2500 0.2500 0.2500
0.4100 0.7500 0.0900
0.2500 0.9100 0.5900
0.5900 0.2500 0.9100
0.9100 0.5900 0.2500
0.7500 0.0900 0.4100
0.0900 0.4100 0.7500
0.5000 0.5000 0.5000
0.0000 0.0000 0.0000
```

Output
As for the raw total energy: -1.4996 eV per atom. Its calculated volume is 236.2 Å³ per cell.

***

> Number 2 is which compound?

ReBMo

***

> Which value of raw total energy does entry 1 give?

-1.4996 eV per atom